No. 1
The following is a DFT calculation (PBE) of BaHgTe after structural relaxation.

Values from the calculation:
The energy relative to the elements, uncorrected comes out at -999 meV per atom. Its crystal system is cubic.

abc: 8.0699 8.0699 8.0699
angles: 90.00 90.00 90.00
Space group F-43m (No. 216)
Symmetry-distinct sites (fractional):
Ba 0.0000 0.0000 0.0000 (multiplicity 4)
Hg 0.2500 0.2500 0.7500 (multiplicity 4)
Te 0.2500 0.2500 0.2500 (multiplicity 4)

No. 2
The following is a DFT calculation (PBE) of Ba2HgTe after structural relaxation.

Values from the calculation:
The energy relative to the elements, uncorrected comes out at -984 meV per atom. Its crystal system is monoclinic.

abc: 13.1280 4.6282 5.3906
angles: 90.00 90.89 90.00
Space group Cm (No. 8)
Symmetry-distinct sites (fractional):
Ba 0.0000 0.0000 0.0000 (multiplicity 2)
Ba 0.2468 0.5000 0.4995 (multiplicity 2)
Hg 0.2641 0.0000 0.0010 (multiplicity 2)
Te 0.4733 0.0000 0.4977 (multiplicity 2)

No. 3
The following is a DFT calculation (PBE) of Ba2TiHgTe after structural relaxation.

Values from the calculation:
The energy relative to the elements, uncorrected comes out at -86 meV per atom. Its crystal system is tetragonal.

abc: 6.2895 6.2895 5.2391
angles: 90.00 90.00 90.00
Space group P4/mmm (No. 123)
Symmetry-distinct sites (fractional):
Ba 0.0000 0.5000 0.0000 (multiplicity 2)
Ti 0.0000 0.0000 0.0000 (multiplicity 1)
Hg 0.5000 0.5000 0.5000 (multiplicity 1)
Te 0.0000 0.0000 0.5000 (multiplicity 1)

No. 4
The following is a DFT calculation (PBE) of BaTlHgTe after structural relaxation.

Values from the calculation:
The energy relative to the elements, uncorrected comes out at -665 meV per atom. Its crystal system is cubic.

abc: 8.2196 8.2196 8.2196
angles: 90.00 90.00 90.00
Space group F-43m (No. 216)
Symmetry-distinct sites (fractional):
Ba 0.0000 0.0000 0.0000 (multiplicity 4)
Tl 0.0000 0.0000 0.5000 (multiplicity 4)
Hg 0.2500 0.2500 0.7500 (multiplicity 4)
Te 0.2500 0.2500 0.2500 (multiplicity 4)

No. 5
The following is a DFT calculation (PBE) of Ba2YHgTe5 after structural relaxation.

Values from the calculation:
The energy relative to the elements, uncorrected comes out at -1191 meV per atom. Its crystal system is orthorhombic.

abc: 4.5770 20.5519 14.1094
angles: 90.00 90.00 90.00
Space group Cmc2_1 (No. 36)
Symmetry-distinct sites (fractional):
Ba 0.0000 0.1196 0.0000 (multiplicity 4)
Ba 0.0000 0.1297 0.6283 (multiplicity 4)
Y 0.0000 0.2062 0.3240 (multiplicity 4)
Hg 0.0000 0.4515 0.7488 (multiplicity 4)
Te 0.0000 0.0542 0.3683 (multiplicity 4)
Te 0.0000 0.2935 0.9722 (multiplicity 4)
Te 0.0000 0.3059 0.6738 (multiplicity 4)
Te 0.0000 0.3538 0.3170 (multiplicity 4)
Te 0.0000 0.4952 0.0685 (multiplicity 4)

No. 6
The following is a DFT calculation (PBE) of Ba2ZrHgTe5 after structural relaxation.

Values from the calculation:
The energy relative to the elements, uncorrected comes out at -1089 meV per atom. Its crystal system is orthorhombic.

abc: 4.4858 20.6763 14.0515
angles: 90.00 90.00 90.00
Space group Cmc2_1 (No. 36)
Symmetry-distinct sites (fractional):
Ba 0.0000 0.1178 0.0000 (multiplicity 4)
Ba 0.0000 0.1292 0.6125 (multiplicity 4)
Zr 0.0000 0.2147 0.3142 (multiplicity 4)
Hg 0.0000 0.4579 0.7490 (multiplicity 4)
Te 0.0000 0.0734 0.3614 (multiplicity 4)
Te 0.0000 0.2851 0.9540 (multiplicity 4)
Te 0.0000 0.2987 0.6725 (multiplicity 4)
Te 0.0000 0.3538 0.3092 (multiplicity 4)
Te 0.0000 0.4962 0.0658 (multiplicity 4)

No. 7
The following is a DFT calculation (PBE) of BaThHg after structural relaxation.

Values from the calculation:
The formation enthalpy at 0 K is 0.095 eV per atom. Its crystal system is orthorhombic.

abc: 17.4150 3.7485 6.4884
angles: 90.00 90.00 90.00
Space group Amm2 (No. 38)
Symmetry-distinct sites (fractional):
Ba 0.1615 0.0000 0.0000 (multiplicity 4)
Th 0.3557 0.0000 0.3350 (multiplicity 4)
Hg 0.0000 0.0000 0.3332 (multiplicity 2)
Hg 0.5000 0.0000 0.0012 (multiplicity 2)

No. 8
The following is a DFT calculation (PBE) of Ba2ThHg10 after structural relaxation.

Values from the calculation:
The formation enthalpy at 0 K is -0.114 eV per atom. Its crystal system is orthorhombic.

abc: 11.2834 12.8127 6.3751
angles: 90.00 90.00 90.00
Space group Pbam (No. 55)
Symmetry-distinct sites (fractional):
Ba 0.1418 0.1586 0.0000 (multiplicity 4)
Th 0.0000 0.5000 0.5000 (multiplicity 2)
Hg 0.0346 0.8853 0.5000 (multiplicity 4)
Hg 0.0821 0.6930 0.2319 (multiplicity 8)
Hg 0.1936 0.3144 0.5000 (multiplicity 4)
Hg 0.2281 0.0508 0.5000 (multiplicity 4)

No. 9
The following is a DFT calculation (PBE) of Ba2ThHg after structural relaxation.

Values from the calculation:
The formation enthalpy at 0 K is 0.270 eV per atom. Its crystal system is trigonal.

abc: 3.7581 3.7581 38.9581
angles: 90.00 90.00 120.00
Space group R-3m (No. 166, hexagonal axes)
Symmetry-distinct sites (fractional):
Ba 0.0000 0.0000 0.0961 (multiplicity 6)
Th 0.0000 0.0000 0.0000 (multiplicity 3)
Hg 0.0000 0.0000 0.5000 (multiplicity 3)

No. 10
The following is a DFT calculation (PBE) of BaTi3Hg after structural relaxation.

Values from the calculation:
The formation enthalpy at 0 K is 1.711 eV per atom. Its crystal system is cubic.

abc: 4.9753 4.9753 4.9753
angles: 90.00 90.00 90.00
Space group Pm-3m (No. 221)
Symmetry-distinct sites (fractional):
Ba 0.0000 0.0000 0.0000 (multiplicity 1)
Ti 0.0000 0.0000 0.5000 (multiplicity 3)
Hg 0.5000 0.5000 0.5000 (multiplicity 1)

No. 11
The following is a DFT calculation (PBE) of BaTiHg3 after structural relaxation.

Values from the calculation:
The formation enthalpy at 0 K is 1.063 eV per atom. Its crystal system is cubic.

abc: 6.1873 6.1873 6.1873
angles: 90.00 90.00 90.00
Space group Pm-3m (No. 221)
Symmetry-distinct sites (fractional):
Ba 0.0000 0.0000 0.0000 (multiplicity 1)
Ti 0.5000 0.5000 0.5000 (multiplicity 1)
Hg 0.0000 0.0000 0.5000 (multiplicity 3)

No. 12
The following is a DFT calculation (PBE) of Ba2Ti4Hg after structural relaxation.

Values from the calculation:
The formation enthalpy at 0 K is 1.048 eV per atom. Its crystal system is tetragonal.

abc: 5.2458 5.2458 17.4681
angles: 90.00 90.00 90.00
Space group I4/mmm (No. 139)
Symmetry-distinct sites (fractional):
Ba 0.0000 0.0000 0.1424 (multiplicity 4)
Ti 0.0000 0.0000 0.3488 (multiplicity 4)
Ti 0.0000 0.5000 0.0000 (multiplicity 4)
Hg 0.0000 0.0000 0.5000 (multiplicity 2)

No. 13
The following is a DFT calculation (PBE) of BaTiHg3 after structural relaxation.

Values from the calculation:
The formation enthalpy at 0 K is -0.073 eV per atom. Its crystal system is cubic.

abc: 5.4241 5.4241 5.4241
angles: 90.00 90.00 90.00
Space group Pm-3m (No. 221)
Symmetry-distinct sites (fractional):
Ba 0.0000 0.0000 0.0000 (multiplicity 1)
Ti 0.5000 0.5000 0.5000 (multiplicity 1)
Hg 0.0000 0.5000 0.5000 (multiplicity 3)

Across the entries above, volume takes the values 525.55, 327.48, 207.25, 555.34, 1327.21, 1303.28, 423.57, 921.65, 476.50, 123.15, 236.87, 480.70, 159.58 Å³/cell, respectively.